*one*
VASP calculation (GGA-PBE) on crystalline TbPr2Ho8 at its relaxed geometry.

Lattice parameters (Å, degrees): 9.202 9.202 5.902 105.46 105.46 121.16
Fractional positions:
Tb 0.000 0.000 0.000
Pr 0.306 0.694 0.500
Pr 0.694 0.306 0.500
Ho 0.098 0.329 0.672
Ho 0.208 0.792 0.000
Ho 0.329 0.098 0.672
Ho 0.427 0.427 0.203
Ho 0.573 0.573 0.797
Ho 0.671 0.902 0.328
Ho 0.792 0.208 0.000
Ho 0.902 0.671 0.328

Results
The calculation puts the mass density at 8.136 g cm⁻³.


*two*
VASP calculation (GGA-PBE) on crystalline TbPr2Ho8 at its relaxed geometry.

Lattice parameters (Å, degrees): 6.167 6.171 9.429 90.05 96.32 99.54
Fractional positions:
Tb 0.000 0.000 0.000
Pr 0.362 0.726 0.454
Pr 0.638 0.274 0.546
Ho 0.088 0.181 0.361
Ho 0.183 0.362 0.731
Ho 0.273 0.546 0.090
Ho 0.456 0.907 0.821
Ho 0.544 0.093 0.179
Ho 0.727 0.454 0.910
Ho 0.817 0.638 0.269
Ho 0.912 0.819 0.639

Results
The calculation puts the mass density at 8.312 g cm⁻³.


Looking at the structures above, *two* is most stable, and the difference to the next one is 0.137 eV/atom.